Record 1
This record from Alexandria describes SrMgP2 after structural relaxation. The functional is GGA-PBE.

Unit cell a=6.5223 b=6.5223 c=6.5223 alpha=144.20 beta=143.59 gamma=51.98
Closest atoms and distances in Å follow each position.
Positions (direct):
1 Sr 0.0000 0.0000 0.0000  6 P 3.07-3.29
2 Mg 0.2503 0.7503 0.5000  6 P 2.72-2.88
3 P 0.5965 0.5965 0.0000  2 P 2.48, 2 Mg 2.72
4 P 0.7208 0.2208 0.5000  2 P 2.48

Values from the calculation:
Its density is 3.01 g cm⁻³. Its space group is No. 44. For the total energy, the calculation gives -15.54 eV/cell.

***

Record 2
This record from Alexandria describes Sr2MgP after structural relaxation. The functional is GGA-PBE.

Unit cell a=3.7480 b=3.7480 c=9.0710 alpha=90.00 beta=90.00 gamma=90.00
Closest atoms and distances in Å follow each position.
Positions (direct):
1 Sr 0.0000 0.0000 0.0000  1 Mg 3.04, 4 P 3.29
2 Sr 0.5000 0.5000 0.4058  1 P 3.43, 4 Mg 3.54, 4 Sr 3.75
3 Mg 0.0000 0.0000 0.6644  4 P 2.86, 1 Sr 3.04
4 P 0.5000 0.5000 0.7842  4 Mg 2.86

Values from the calculation:
The offset from the most stable computed form is 279 meV per atom. Its density is 3.00 g cm⁻³. Its space group is No. 99. For the total energy, the calculation gives -11.52 eV/cell.

***

What is the density in the first record? 3.01 g cm⁻³

***

density of number 2 (Sr2MgP)? 3.00 g cm⁻³

***

Which of these has the lowest density? Sr2MgP

***

Repeat the first record exactly.
This record from Alexandria describes SrMgP2 after structural relaxation. The functional is GGA-PBE.

Unit cell a=6.5223 b=6.5223 c=6.5223 alpha=144.20 beta=143.59 gamma=51.98
Closest atoms and distances in Å follow each position.
Positions (direct):
1 Sr 0.0000 0.0000 0.0000  6 P 3.07-3.29
2 Mg 0.2503 0.7503 0.5000  6 P 2.72-2.88
3 P 0.5965 0.5965 0.0000  2 P 2.48, 2 Mg 2.72
4 P 0.7208 0.2208 0.5000  2 P 2.48

Values from the calculation:
Its density is 3.01 g cm⁻³. Its space group is No. 44. For the total energy, the calculation gives -15.54 eV/cell.